No. 1
VASP calculation (PBE-GGA) on a geometry-optimized CaAg2PdF8 structure.

a b c (Å): 6.326 6.326 6.326
angles (deg): 113.65 113.65 101.40
Fractional positions:
Ca: 0.250 0.750 0.500
F: 0.311 0.019 0.292
F: 0.981 0.272 0.292
F: 0.528 0.711 0.817
F: 0.981 0.689 0.708
F: 0.289 0.472 0.183
F: 0.728 0.019 0.708
F: 0.895 0.711 0.183
F: 0.289 0.105 0.817
Pd: 0.000 0.000 0.000
Ag: 0.500 0.500 0.000
Ag: 0.750 0.250 0.500

Summary:
space-group type	I-4m2 (119)
raw formation energy	-1.720	eV/atom
uncorrected energy	-48.506	eV/cell

---

No. 2
VASP calculation (PBE-GGA) on a geometry-optimized CaAg2PdF6 structure.

a b c (Å): 4.785 6.029 6.511
angles (deg): 117.58 104.88 90.00
Fractional positions:
Ag: 0.218 0.214 0.427
Ag: 0.782 0.786 0.573
Pd: 0.500 0.000 0.000
F: 0.206 0.139 0.828
F: 0.794 0.861 0.172
F: 0.311 0.682 0.364
F: 0.689 0.318 0.636
F: 0.206 0.689 0.828
F: 0.794 0.311 0.172
Ca: 0.000 0.500 0.000

Summary:
space-group type	C2/m (12)
raw formation energy	-1.889	eV/atom
uncorrected energy	-43.010	eV/cell